Here is a relaxed structure of Y2VCuO from Alexandria. Energies are from GGA+U.

CIF file:
```
data_Y2VCuO
_space_group_name_H-M_alt 'P 4/m m m'
_space_group_IT_number 123
_space_group_name_Hall '-P 4 2'
_cell_length_a 5.283
_cell_length_b 5.283
_cell_length_c 4.512
_cell_angle_alpha 90.00
_cell_angle_beta 90.00
_cell_angle_gamma 90.00
loop_
_atom_site_label
_atom_site_type_symbol
_atom_site_fract_x
_atom_site_fract_y
_atom_site_fract_z
_atom_site_occupancy
Y1 Y 0.000 0.500 0.000 1
V1 V 0.000 0.000 0.500 1
Cu1 Cu 0.000 0.000 0.000 1
O1 O 0.500 0.500 0.500 1
```

- Total energy: -26.66 eV per cell
- V: 25.188 Å³/atom